1.
Compound: NpCuPd6
Source: Alexandria via LeMat-Bulk
Functional: PBE
Structure: optimized geometry

Structure (POSCAR):
```
NpCuPd6
1.0
4.0474 0.0000 0.0000
0.0000 5.6591 -0.0333
0.0000 0.0387 5.6590
Np Cu Pd
1 1 6
direct
0.5000 0.0000 0.0000 Np
0.5000 0.5000 0.5000 Cu
0.0000 0.7454 0.2546 Pd
0.0000 0.2546 0.7454 Pd
0.0000 0.7456 0.7456 Pd
0.0000 0.2544 0.2544 Pd
0.5000 0.5000 0.0000 Pd
0.5000 0.0000 0.5000 Pd
```

Calculated values
The calculated density is 12.030 g cm⁻³. As for the symmetry: Cmmm (65). The raw total energy is -50.489 eV for the cell shown. The value obtained for the total moment is 2.516 μB/f.u.



2.
Compound: NpCu2Pd8
Source: Alexandria via LeMat-Bulk
Functional: PBE
Structure: optimized geometry

Structure (POSCAR):
```
NpCu2Pd8
1.0
-2.8298 -0.3963 -2.9632
4.3906 1.1031 -4.3405
1.3064 -6.7203 2.5106
Np Cu Pd
1 2 8
direct
0.5000 0.0000 0.0000 Np
0.2269 0.6406 0.4537 Cu
0.7731 0.3594 0.5463 Cu
0.5984 0.4637 0.1968 Pd
0.3176 0.0766 0.6352 Pd
0.1440 0.2036 0.2879 Pd
0.0473 0.7281 0.0945 Pd
0.8560 0.7964 0.7121 Pd
0.6824 0.9234 0.3648 Pd
0.4016 0.5363 0.8032 Pd
0.9527 0.2719 0.9055 Pd
```

Calculated values
The offset from the most stable computed form comes out at 0.00 eV per formula unit. The calculated density is 11.665 g cm⁻³. As for the symmetry: C2/m (12). The raw total energy is -65.191 eV for the cell shown. The value obtained for the total moment is 2.554 μB/f.u.



3.
Compound: NpCuPd2
Source: Alexandria via LeMat-Bulk
Functional: PBE
Structure: optimized geometry

Structure (POSCAR):
```
NpCuPd2
1.0
-0.7743 -1.5045 2.7135
3.0434 0.1756 0.9658
-1.2666 5.9114 2.9162
Np Cu Pd
1 1 2
direct
0.5000 0.5000 0.5000 Np
0.5000 0.5000 0.0000 Cu
0.0000 0.0000 0.7896 Pd
0.0000 0.0000 0.2104 Pd
```

Calculated values
The offset from the most stable computed form comes out at 0.04 eV per formula unit. The calculated density is 12.420 g cm⁻³. As for the symmetry: P4/mmm (123). The raw total energy is -27.919 eV for the cell shown. The value obtained for the total moment is 3.843 μB/f.u.



4.
Compound: NpCu4Pd
Source: Alexandria via LeMat-Bulk
Functional: PBE
Structure: optimized geometry

Structure (POSCAR):
```
NpCu4Pd
1.0
5.0232 0.0000 0.0000
2.5116 4.3503 0.0000
2.5116 1.4501 4.1015
Np Cu Pd
1 4 1
direct
0.2500 0.2500 0.2500 Np
0.6260 0.6260 0.1219 Cu
0.6260 0.1219 0.6260 Cu
0.6260 0.6260 0.6260 Cu
0.1219 0.6260 0.6260 Cu
0.0000 0.0000 0.0000 Pd
```

Calculated values
The calculated density is 11.072 g cm⁻³. As for the symmetry: F-43m (216). The raw total energy is -34.730 eV for the cell shown. The value obtained for the total moment is 4.024 μB/f.u.



5.
Compound: Np2CuPd9
Source: Alexandria via LeMat-Bulk
Functional: PBE
Structure: optimized geometry

Structure (POSCAR):
```
Np2CuPd9
1.0
4.1192 0.0000 0.0000
0.0000 4.1192 0.0000
0.0000 0.0000 11.8775
Np Cu Pd
2 1 9
direct
0.0000 0.0000 0.3198 Np
0.0000 0.0000 0.6802 Np
0.0000 0.0000 0.0000 Cu
0.5000 0.5000 0.0000 Pd
0.5000 0.5000 0.3296 Pd
0.5000 0.5000 0.6704 Pd
0.5000 0.0000 0.1568 Pd
0.5000 0.0000 0.5000 Pd
0.5000 0.0000 0.8432 Pd
0.0000 0.5000 0.1568 Pd
0.0000 0.5000 0.5000 Pd
0.0000 0.5000 0.8432 Pd
```

Calculated values
The calculated density is 12.321 g cm⁻³. As for the symmetry: P4/mmm (123). The raw total energy is -80.475 eV for the cell shown. The value obtained for the total moment is 5.916 μB/f.u.



6.
Compound: NpCuPdPt
Source: Alexandria via LeMat-Bulk
Functional: PBE
Structure: optimized geometry

Structure (POSCAR):
```
NpCuPdPt
1.0
4.6581 0.0000 0.0000
2.3291 4.0341 0.0000
2.3291 1.3447 3.8033
Np Cu Pd Pt
1 1 1 1
direct
0.7500 0.7500 0.7500 Np
0.2500 0.2500 0.2500 Cu
0.5000 0.5000 0.5000 Pd
0.0000 0.0000 0.0000 Pt
```

Calculated values
The calculated density is 13.988 g cm⁻³. As for the symmetry: F-43m (216). The raw total energy is -29.263 eV for the cell shown. The value obtained for the total moment is 3.471 μB/f.u.



7.
Compound: PuNpCuPd
Source: Alexandria via LeMat-Bulk
Functional: PBE
Structure: optimized geometry

Structure (POSCAR):
```
PuNpCuPd
1.0
-2.4530 3.9531 -0.6166
-1.6667 1.0886 -4.2498
-4.6134 -0.2073 -0.8350
Np Cu Pd Pu
1 1 1 1
direct
0.5000 0.5000 0.5000 Np
0.0000 0.0000 0.0000 Cu
0.2500 0.2500 0.2500 Pd
0.7500 0.7500 0.7500 Pu
```

Calculated values
The calculated density is 14.790 g cm⁻³. As for the symmetry: F-43m (216). The raw total energy is -36.993 eV for the cell shown. The value obtained for the total moment is 8.339 μB/f.u.



8.
Compound: Np3Cu3PdS8
Source: Alexandria via LeMat-Bulk
Functional: PBE
Structure: optimized geometry

Structure (POSCAR):
```
Np3Cu3PdS8
1.0
7.8244 0.0000 0.0000
-3.9122 6.6412 -0.8395
0.0000 -5.1235 6.8197
Np Cu Pd S
3 3 1 8
direct
0.5000 0.0000 0.5000 Np
0.5000 0.5000 0.5000 Np
0.0000 0.5000 0.5000 Np
0.0000 0.0000 0.0000 Cu
0.0000 0.5000 0.0000 Cu
0.5000 0.5000 0.0000 Cu
0.0000 0.0000 0.5000 Pd
0.2270 0.4541 0.2535 S
0.7730 0.5459 0.7465 S
0.7469 0.4939 0.2817 S
0.2531 0.5061 0.7183 S
0.7269 0.9535 0.2552 S
0.2731 0.0465 0.7448 S
0.2266 0.9535 0.2552 S
0.7734 0.0465 0.7448 S
```

Calculated values
The calculated density is 6.547 g cm⁻³. As for the symmetry: C2/m (12). The raw total energy is -99.948 eV for the cell shown. Its energy relative to the elements, uncorrected is -0.708 eV/atom. The value obtained for the total moment is 9.723 μB/f.u.



9.
Compound: NpCu2PdS4
Source: Alexandria via LeMat-Bulk
Functional: PBE
Structure: optimized geometry

Structure (POSCAR):
```
NpCu2PdS4
1.0
-3.0642 -4.0880 0.0553
4.0599 -2.9974 -0.7984
0.3265 3.0087 6.5681
Np Cu Pd S
1 2 1 4
direct
0.5032 0.5032 0.0064 Np
0.7499 0.2499 0.4999 Cu
0.2499 0.7499 0.4999 Cu
0.9986 0.9986 0.9971 Pd
0.6238 0.6238 0.7203 S
0.3686 0.9098 0.2783 S
0.9098 0.3686 0.2783 S
0.0965 0.0965 0.7203 S
```

Calculated values
The calculated density is 6.071 g cm⁻³. As for the symmetry: Fmm2 (42). The raw total energy is -46.263 eV for the cell shown. Its energy relative to the elements, uncorrected is -0.428 eV/atom. The value obtained for the total moment is 2.598 μB/f.u.



10.
Compound: NpCuPdSe3
Source: Alexandria via LeMat-Bulk
Functional: PBE
Structure: optimized geometry

Structure (POSCAR):
```
NpCuPdSe3
1.0
-3.3778 -1.2266 1.5255
2.5655 -6.7821 0.2274
2.0734 3.7581 7.6127
Np Cu Pd Se
2 2 2 6
direct
0.2500 0.2168 0.2596 Np
0.7500 0.7832 0.7404 Np
0.2500 0.6586 0.1829 Cu
0.7500 0.3414 0.8171 Cu
0.2500 0.1235 0.6000 Pd
0.7500 0.8765 0.4000 Pd
0.7500 0.9281 0.1244 Se
0.2500 0.0719 0.8756 Se
0.2500 0.6885 0.4816 Se
0.7500 0.3115 0.5184 Se
0.7500 0.4168 0.1292 Se
0.2500 0.5832 0.8708 Se
```

Calculated values
The calculated density is 9.029 g cm⁻³. As for the symmetry: P2_1/m (11). The raw total energy is -71.750 eV for the cell shown. Its energy relative to the elements, uncorrected is -0.532 eV/atom. The value obtained for the total moment is 2.552 μB/f.u.



11.
Compound: PmNpCuRu
Source: Alexandria via LeMat-Bulk
Functional: PBE
Structure: optimized geometry

Structure (POSCAR):
```
PmNpCuRu
1.0
4.8981 0.0000 0.0000
2.4491 4.2419 0.0000
2.4491 1.4140 3.9993
Np Ru Cu Pm
1 1 1 1
direct
0.5000 0.5000 0.5000 Np
0.7500 0.7500 0.7500 Ru
0.2500 0.2500 0.2500 Cu
0.0000 0.0000 0.0000 Pm
```

Calculated values
The calculated density is 10.923 g cm⁻³. As for the symmetry: F-43m (216). The raw total energy is -30.645 eV for the cell shown. The value obtained for the total moment is 4.045 μB/f.u.



12.
Compound: Pr2NpCuS5
Source: Alexandria via LeMat-Bulk
Functional: PBE
Structure: optimized geometry

Structure (POSCAR):
```
Pr2NpCuS5
1.0
3.9378 0.0000 0.0000
-1.9689 8.4722 0.0000
0.0000 0.0000 11.7509
Pr Np Cu S
4 2 2 10
direct
0.8781 0.7562 0.8188 Pr
0.1100 0.2200 0.6894 Pr
0.1219 0.2438 0.3188 Pr
0.8900 0.7800 0.1894 Pr
0.8044 0.6088 0.5144 Np
0.1956 0.3912 0.0144 Np
0.5566 0.1132 0.9457 Cu
0.4434 0.8868 0.4457 Cu
0.3576 0.7152 0.0071 S
0.6859 0.3718 0.8538 S
0.4965 0.9930 0.7720 S
0.2931 0.5862 0.6751 S
0.9579 0.9157 0.5477 S
0.6424 0.2848 0.5071 S
0.3141 0.6282 0.3538 S
0.5035 0.0070 0.2720 S
0.7069 0.4138 0.1751 S
0.0421 0.0843 0.0477 S
```

Calculated values
The calculated density is 6.292 g cm⁻³. As for the symmetry: Cmc2_1 (36). The raw total energy is -122.229 eV for the cell shown. Its energy relative to the elements, uncorrected is -1.542 eV/atom. The value obtained for the total moment is 3.796 μB/f.u.